[1]
Tb4AsPbSe2: optimized geometry, PBE.

Properties
Uncorrected formation energy ... -1.406 eV/atom
Volume ... 211 Å³/cell
Fermi-level density of states ... 0.26 states/eV/atom
Crystal system ... monoclinic
Size of the total moment ... 0.00 μB per formula unit

abc: 7.2730 4.2107 7.3252
angles: 90.00 109.49 90.00
With the nearest neighbours (Å) after each atom.
Space group P2/m (No. 10)
One atom of each set of equivalent atoms:
Tb 0.2443 0.0000 0.2395 x2  2 As 2.93, 3 Se 2.95-3.03, 1 Pb 3.01
Tb 0.2531 0.5000 0.7604 x2  1 As 2.94, 3 Se 2.94-3.02, 2 Pb 3.02
As 0.0000 0.5000 0.0000 x1  6 Tb 2.93-2.94
Pb 0.0000 0.0000 0.5000 x1  6 Tb 3.01-3.02
Se 0.5000 0.0000 0.0000 x1  6 Tb 2.94-2.95
Se 0.5000 0.5000 0.5000 x1  6 Tb 3.02-3.03

[2]
Tb4As2PbSe: optimized geometry, PBE.

Properties
Uncorrected formation energy ... -1.342 eV/atom
Volume ... 212 Å³/cell
Fermi-level density of states ... 0.20 states/eV/atom
Crystal system ... monoclinic
Size of the total moment ... 0.00 μB per formula unit

abc: 7.3297 4.1410 7.3655
angles: 90.00 108.78 90.00
With the nearest neighbours (Å) after each atom.
Space group P2/m (No. 10)
One atom of each set of equivalent atoms:
Tb 0.2373 0.0000 0.2325 x2  3 As 2.89-2.96, 1 Se 3.02, 2 Pb 3.07
Tb 0.2523 0.5000 0.7643 x2  3 As 2.92-2.93, 2 Se 3.03, 1 Pb 3.06
As 0.0000 0.5000 0.0000 x1  6 Tb 2.89-2.92
As 0.5000 0.0000 0.0000 x1  6 Tb 2.93-2.96
Pb 0.5000 0.5000 0.5000 x1  6 Tb 3.06-3.07
Se 0.0000 0.0000 0.5000 x1  6 Tb 3.02-3.03

[3]
TcAs2PbSe: optimized geometry, PBE.

Properties
Uncorrected formation energy ... 1.868 eV/atom
Volume ... 145 Å³/cell
Fermi-level density of states ... 1.70 states/eV/atom
ΔE to the lowest computed polymorph ... 1643 meV/atom
Crystal system ... tetragonal
Size of the total moment ... 0.12 μB per formula unit

abc: 5.2277 5.2277 5.2941
angles: 90.00 90.00 90.00
With the nearest neighbours (Å) after each atom.
Space group P4/mmm (No. 123)
One atom of each set of equivalent atoms:
Tc 0.0000 0.0000 0.0000 x1  4 Se 3.70, 8 As 3.72
As 0.0000 0.5000 0.5000 x2  2 Pb 2.61
Pb 0.5000 0.5000 0.5000 x1  4 As 2.61, 2 Se 2.65
Se 0.5000 0.5000 0.0000 x1  2 Pb 2.65

[4]
TcAs2PbSe: optimized geometry, PBE.

Properties
Uncorrected formation energy ... 0.224 eV/atom
Volume ... 125 Å³/cell
Fermi-level density of states ... 0.75 states/eV/atom
ΔE to the lowest computed polymorph ... 0 meV/atom
Crystal system ... tetragonal
Size of the total moment ... 0.00 μB per formula unit

abc: 4.6962 4.6962 5.6841
angles: 90.00 90.00 90.00
With the nearest neighbours (Å) after each atom.
Space group P4/mmm (No. 123)
One atom of each set of equivalent atoms:
Tc 0.0000 0.0000 0.0000 x1  4 As 2.35
As 0.0000 0.5000 0.0000 x2  2 Tc 2.35
Pb 0.5000 0.5000 0.5000 x1  4 Se 3.32, 8 As 3.69
Se 0.0000 0.0000 0.5000 x1  2 Tc 2.84

[5]
Te2AsPb4Se: optimized geometry, PBE.

Properties
Uncorrected formation energy ... -0.293 eV/atom
Volume ... 253 Å³/cell
Fermi-level density of states ... 0.57 states/eV/atom
Crystal system ... monoclinic
Size of the total moment ... 0.00 μB per formula unit

abc: 7.7359 4.4448 7.7869
angles: 90.00 109.37 90.00
With the nearest neighbours (Å) after each atom.
Space group P2/m (No. 10)
One atom of each set of equivalent atoms:
Te 0.0000 0.0000 0.0000 x1  6 Pb 3.23-3.24
Te 0.5000 0.5000 0.0000 x1  6 Pb 3.27-3.29
As 0.0000 0.5000 0.5000 x1  6 Pb 3.03-3.06
Pb 0.2351 0.0000 0.7253 x2  2 As 3.03, 1 Se 3.11, 3 Te 3.24-3.29
Pb 0.2525 0.5000 0.2690 x2  1 As 3.06, 2 Se 3.09, 3 Te 3.23-3.27
Se 0.5000 0.0000 0.5000 x1  6 Pb 3.09-3.11

[6]
TeAs2PbSe: optimized geometry, PBE.

Properties
Uncorrected formation energy ... 0.644 eV/atom
Volume ... 172 Å³/cell
Fermi-level density of states ... 1.27 states/eV/atom
ΔE to the lowest computed polymorph ... 0 meV/atom
Crystal system ... tetragonal
Size of the total moment ... 0.98 μB per formula unit

abc: 5.5743 5.5743 5.5249
angles: 90.00 90.00 90.00
With the nearest neighbours (Å) after each atom.
Space group P4/mmm (No. 123)
One atom of each set of equivalent atoms:
Te 0.0000 0.0000 0.0000 x1  2 Se 2.76, 4 As 2.79
As 0.0000 0.5000 0.0000 x2  2 Te 2.79
Pb 0.5000 0.5000 0.5000 x1  8 As 3.92, 4 Se 3.94
Se 0.0000 0.0000 0.5000 x1  2 Te 2.76